The following is a DFT calculation (PBE) of a relaxed structure of GeSb2Pt.

The structure in POSCAR format:
```
GeSb2Pt
1.0
6.1720 0.0000 0.0000
0.0000 6.1720 0.0000
3.0860 3.0860 6.0847
Sb Ge Pt
4 2 2
direct
0.6445 0.1250 0.2500 Sb
0.1055 0.6250 0.2500 Sb
0.3750 0.3555 0.7500 Sb
0.8750 0.8945 0.7500 Sb
0.5000 0.5000 0.0000 Ge
0.2500 0.7500 0.5000 Ge
0.0000 0.0000 0.0000 Pt
0.7500 0.2500 0.5000 Pt
```

Its space-group type is No. 122. The calculation puts the spin magnetization at 0.00 μB per formula unit. The formation energy (no corrections) comes out at -73 meV per atom.